Material: Cu2SiP
Method: DFT, PBE-GGA
State: optimized geometry

a b c (Å): 8.0899 8.0899 8.0899
angles (deg): 152.37 152.37 39.48
Closest atoms and distances in Å follow each position.
Sites, in units of the cell vectors:
Cu 0.1223 0.6250 0.9973  2 P 2.34, 2 Si 2.35
Cu 0.3750 0.3723 0.4973  2 P 2.34, 2 Si 2.35
Cu 0.6277 0.1250 0.0027  2 P 2.34, 2 Si 2.35
Cu 0.8750 0.8777 0.5027  2 P 2.34, 2 Si 2.35
Si 0.2500 0.7500 0.5000  4 Cu 2.35
Si 0.5000 0.5000 0.0000  4 Cu 2.35
P 0.0000 0.0000 0.0000  4 Cu 2.34
P 0.7500 0.2500 0.5000  4 Cu 2.34

As for the space group: I-42d. The calculation puts the density of states at the Fermi level at 2.88 states/eV/cell. Its formation energy (no corrections) is 114 meV/atom.



Material: In2BAu2
Method: DFT, PBE-GGA
State: optimized geometry

a b c (Å): 6.1934 6.1934 5.6156
angles (deg): 90.00 90.00 90.00
Closest atoms and distances in Å follow each position.
Sites, in units of the cell vectors:
In 0.1739 0.3261 0.0000  2 Au 2.88, 1 In 3.05
In 0.3261 0.8261 0.0000  2 Au 2.88, 1 In 3.05
In 0.6739 0.1739 0.0000  2 Au 2.88, 1 In 3.05
In 0.8261 0.6739 0.0000  2 Au 2.88, 1 In 3.05
B 0.0000 0.0000 0.5000  4 Au 2.19
B 0.5000 0.5000 0.5000  4 Au 2.19
Au 0.2487 0.2513 0.5000  2 B 2.19
Au 0.2513 0.7513 0.5000  2 B 2.19
Au 0.7487 0.2487 0.5000  2 B 2.19
Au 0.7513 0.7487 0.5000  2 B 2.19

As for the space group: P4/mbm. The calculation puts the density of states at the Fermi level at 4.72 states/eV/cell. For the offset from the most stable computed form, the calculation gives 0 meV/atom.



Material: Y2HfTe5
Method: DFT, PBE-GGA
State: optimized geometry

a b c (Å): 7.7945 7.7945 14.2230
angles (deg): 90.00 90.00 135.04
Closest atoms and distances in Å follow each position.
Sites, in units of the cell vectors:
Y 0.1555 0.8445 0.5584  6 Te 3.01-3.17
Y 0.1555 0.8445 0.9416  6 Te 3.01-3.17
Y 0.8445 0.1555 0.0584  6 Te 3.01-3.17
Y 0.8445 0.1555 0.4416  6 Te 3.01-3.17
Hf 0.1920 0.8080 0.2500  6 Te 2.78-3.04
Hf 0.8080 0.1920 0.7500  6 Te 2.78-3.04
Te 0.0461 0.9539 0.1217  1 Hf 2.78, 2 Y 3.01-3.04
Te 0.0461 0.9539 0.3783  1 Hf 2.78, 2 Y 3.01-3.04
Te 0.2681 0.7319 0.7500  2 Hf 3.04, 2 Y 3.17
Te 0.3210 0.6790 0.0864  1 Hf 2.98, 3 Y 3.03-3.15
Te 0.3210 0.6790 0.4136  1 Hf 2.98, 3 Y 3.03-3.15
Te 0.6790 0.3210 0.5864  1 Hf 2.98, 3 Y 3.03-3.15
Te 0.6790 0.3210 0.9136  1 Hf 2.98, 3 Y 3.03-3.15
Te 0.7319 0.2681 0.2500  2 Hf 3.04, 2 Y 3.17
Te 0.9539 0.0461 0.6217  1 Hf 2.78, 2 Y 3.01-3.04
Te 0.9539 0.0461 0.8783  1 Hf 2.78, 2 Y 3.01-3.04

As for the space group: Cmcm. Its formation energy (no corrections) is -1069 meV/atom.



Material: Tl4CoPb
Method: DFT, PBE-GGA
State: optimized geometry

a b c (Å): 6.3104 6.3104 6.3104
angles (deg): 60.00 60.00 60.00
Closest atoms and distances in Å follow each position.
Sites, in units of the cell vectors:
Tl 0.1249 0.1249 0.1249  6 Tl 3.15-3.16
Tl 0.1249 0.1249 0.6254  6 Tl 3.15-3.16
Tl 0.1249 0.6254 0.1249  6 Tl 3.15-3.16
Tl 0.6254 0.1249 0.1249  6 Tl 3.15-3.16
Co 0.7500 0.7500 0.7500  12 Tl 3.70, 4 Pb 3.86
Pb 0.5000 0.5000 0.5000  12 Tl 3.70, 4 Co 3.86

As for the space group: F-43m. The calculation puts the density of states at the Fermi level at 7.73 states/eV/cell. The calculation puts the total energy at -16.35 eV per cell.



Material: CoSi3Se
Method: DFT, PBE-GGA
State: optimized geometry

a b c (Å): 4.3819 4.3819 4.3819
angles (deg): 90.00 90.00 90.00
Closest atoms and distances in Å follow each position.
Sites, in units of the cell vectors:
Co 0.0000 0.0000 0.0000  6 Si 2.19
Si 0.0000 0.0000 0.5000  2 Co 2.19
Si 0.0000 0.5000 0.0000  2 Co 2.19
Si 0.5000 0.0000 0.0000  2 Co 2.19
Se 0.5000 0.5000 0.5000  12 Si 3.10

As for the space group: Pm-3m. The calculation puts the density of states at the Fermi level at 2.21 states/eV/cell. Its formation energy (no corrections) is 123 meV/atom. For the offset from the most stable computed form, the calculation gives 0 meV/atom.



Material: PmBe3Pt2
Method: DFT, PBE-GGA
State: optimized geometry

a b c (Å): 7.4381 7.4381 7.1940
angles (deg): 108.84 108.84 27.59
Closest atoms and distances in Å follow each position.
Sites, in units of the cell vectors:
Pm 0.1090 0.1090 0.1308  6 Be 2.82-3.04, 2 Pt 3.00, 1 Pm 3.08
Pm 0.8910 0.8910 0.8692  6 Be 2.82-3.04, 2 Pt 3.00, 1 Pm 3.08
Be 0.0680 0.0680 0.4880  1 Be 2.03, 1 Pt 2.23
Be 0.3028 0.3028 0.0792  4 Pt 2.33-2.44, 2 Be 2.37
Be 0.3140 0.3140 0.5068  3 Pt 2.38-2.46, 4 Be 2.45-2.54
Be 0.6860 0.6860 0.4932  3 Pt 2.38-2.46, 4 Be 2.45-2.54
Be 0.6972 0.6972 0.9208  4 Pt 2.33-2.44, 2 Be 2.37
Be 0.9320 0.9320 0.5120  1 Be 2.03, 1 Pt 2.23
Pt 0.2143 0.2143 0.7252  7 Be 2.23-2.46
Pt 0.4693 0.4693 0.2915  5 Be 2.38-2.55
Pt 0.5307 0.5307 0.7085  5 Be 2.38-2.55
Pt 0.7857 0.7857 0.2748  7 Be 2.23-2.46

As for the space group: C2/m. The calculation puts the density of states at the Fermi level at 5.48 states/eV/cell. The calculation puts the total energy at -63.17 eV per cell.



Number 1: total magnetic moment 0.00 μB/cell. Number 2: total magnetic moment 0.00 μB/cell. Number 3: total magnetic moment 0.00 μB/cell. Number 4: total magnetic moment 2.06 μB/cell. Number 5: total magnetic moment 0.00 μB/cell. Number 6: total magnetic moment 0.00 μB/cell.